Below is a geometry-optimized TbPm2Tl structure, with properties calculated at the PBE level.

```
TbPm2Tl
1.0
3.661 0.000 0.000
0.000 3.661 0.000
0.000 0.000 9.426
Tl Pm Tb
1 2 1
direct
0.500 0.500 0.000
0.000 0.000 0.230
0.000 0.000 0.770
0.500 0.500 0.500
```

Formation energy from the elements = -0.15 eV per atom
Total DFT energy (no corrections) = -4.279 eV/atom
N(E_F) = 1.31 states/eV per atom
Space group = P4/mmm